Material: ZrZn2Ru
Method: DFT, meta-GGA SCAN
State: PBEsol geometry

The structure in extended XYZ format:
```
4
Lattice="-3.3919 -0.1861 -1.5995 -0.6511 -3.2525 1.7592 -1.7054 2.1616 3.3651" Properties=species:S:1:pos:R:3 pbc="T T T"
Ru -0.8527 1.0808 1.6826
Zn -0.3256 -1.6263 0.8796
Zn -1.6959 -0.0931 -0.7997
Zr -2.8742 -0.6385 1.7625
```

Results
Energy of formation from the pure elements in kJ/mol of atoms: -30
V in A^3/atom: 15.32
Spin magnetization in μB per formula unit: 0.0

Material: SrLiTl2Cr
Method: DFT, meta-GGA SCAN
State: PBEsol geometry

The structure in extended XYZ format:
```
5
Lattice="-0.5772 5.6404 0.4974 -4.0896 -0.8053 4.3852 4.4161 0.0873 4.1344" Properties=species:S:1:pos:R:3 pbc="T T T"
Sr 0.0000 0.0000 0.0000
Tl 2.2081 0.0437 2.0672
Tl -2.0448 -0.4026 2.1926
Li -0.1253 2.4612 4.5085
Cr -0.2886 2.8202 0.2487
```

Results
Energy of formation from the pure elements in kJ/mol of atoms: 83
V in A^3/atom: 41.67
Spin magnetization in μB per formula unit: 4.6

Material: YAlZn
Method: DFT, meta-GGA SCAN
State: PBEsol geometry

The structure in extended XYZ format:
```
6
Lattice="-1.9450 1.7174 3.5816 -1.7967 -3.9288 3.6388 3.5536 0.6700 4.3391" Properties=species:S:1:pos:R:3 pbc="T T T"
Y -0.2660 -0.5395 5.5756
Y 0.4165 -1.9056 9.3319
Zn 1.1178 0.5329 3.0821
Zn -1.1365 -1.4048 2.7871
Al 0.7930 0.9520 8.1661
Al -2.2596 -1.6719 7.7666
```

Results
Energy of formation from the pure elements in kJ/mol of atoms: -54
V in A^3/atom: 19.86
Spin magnetization in μB per formula unit: 0.2

Material: Ag3SnIr
Method: DFT, meta-GGA SCAN
State: PBEsol geometry

The structure in extended XYZ format:
```
5
Lattice="4.8977 0.0000 0.0000 0.0000 4.8977 0.0000 0.0000 0.0000 4.8977" Properties=species:S:1:pos:R:3 pbc="T T T"
Ir 2.4489 2.4489 2.4489
Sn 0.0000 0.0000 0.0000
Ag 0.0000 2.4489 0.0000
Ag 0.0000 0.0000 2.4489
Ag 2.4489 0.0000 0.0000
```

Results
Energy of formation from the pure elements in kJ/mol of atoms: 155
V in A^3/atom: 23.50
Spin magnetization in μB per formula unit: 2.1

Material: SrBi2Se2
Method: DFT, meta-GGA SCAN
State: PBEsol geometry

The structure in extended XYZ format:
```
5
Lattice="-2.4438 3.4601 0.8510 -3.2948 -1.8014 -2.1372 0.3296 -4.3070 7.4898" Properties=species:S:1:pos:R:3 pbc="T T T"
Sr 0.0000 0.0000 0.0000
Bi -2.9173 -2.6395 2.3547
Bi -2.4918 -0.0088 3.8488
Se -2.1254 -2.9103 5.7296
Se -3.2837 0.2619 0.4740
```

Results
V in A^3/atom: 30.20
E above lowest polymorph in eV per atom: 0.000
Spin magnetization in μB per formula unit: 0.0
E_form (uncorrected) in kJ/mol of formula units: -316

Material: LaTaTe2
Method: DFT, meta-GGA SCAN
State: PBEsol geometry

The structure in extended XYZ format:
```
4
Lattice="3.5304 0.0000 0.0000 0.0000 3.5304 0.0000 0.0000 0.0000 7.5453" Properties=species:S:1:pos:R:3 pbc="T T T"
La 1.7652 1.7652 0.0000
Ta 1.7652 1.7652 3.7727
Te 0.0000 0.0000 5.4015
Te 0.0000 0.0000 2.1438
```

Results
V in A^3/atom: 23.51
E above lowest polymorph in eV per atom: 0.000
Spin magnetization in μB per formula unit: 0.0
E_form (uncorrected) in kJ/mol of formula units: -181

Material: Na3TcBr
Method: DFT, meta-GGA SCAN
State: PBEsol geometry

The structure in extended XYZ format:
```
5
Lattice="5.4188 0.0000 0.0000 0.0000 5.4188 0.0000 0.0000 0.0000 5.4188" Properties=species:S:1:pos:R:3 pbc="T T T"
Na 0.0000 2.7094 0.0000
Na 0.0000 0.0000 2.7094
Na 2.7094 0.0000 0.0000
Tc 2.7094 2.7094 2.7094
Br 0.0000 0.0000 0.0000
```

Results
V in A^3/atom: 31.82
Spin magnetization in μB per formula unit: 3.4
E_form (uncorrected) in kJ/mol of formula units: 176

Material: Ta2MnMo
Method: DFT, meta-GGA SCAN
State: PBEsol geometry

The structure in extended XYZ format:
```
4
Lattice="3.1167 0.0000 0.0000 0.0000 3.1167 0.0000 0.0000 0.0000 6.2384" Properties=species:S:1:pos:R:3 pbc="T T T"
Mo 1.5583 1.5583 3.1192
Mn 1.5583 1.5583 0.0000
Ta 0.0000 0.0000 4.7337
Ta 0.0000 0.0000 1.5047
```

Results
Energy of formation from the pure elements in kJ/mol of atoms: -19
V in A^3/atom: 15.15
Spin magnetization in μB per formula unit: 0.1

Material: CrGeSeBr2
Method: DFT, meta-GGA SCAN
State: PBEsol geometry

The structure in extended XYZ format:
```
5
Lattice="-1.6948 0.6140 4.5367 3.2051 -3.2952 1.6433 3.3386 3.6246 0.7567" Properties=species:S:1:pos:R:3 pbc="T T T"
Cr 0.0000 0.0000 0.0000
Ge 2.4244 0.4716 3.4684
Se 1.6693 1.8123 0.3783
Br 1.6025 -1.6476 0.8216
Br -0.8474 0.3070 2.2684
```

Results
V in A^3/atom: 23.76
E above lowest polymorph in eV per atom: 0.000
Spin magnetization in μB per formula unit: 4.0
E_form (uncorrected) in kJ/mol of formula units: -59

Material: TlBrO2
Method: DFT, meta-GGA SCAN
State: PBEsol geometry

The structure in extended XYZ format:
```
4
Lattice="-3.3360 0.3760 2.7304 -1.7600 -3.5369 1.7658 0.5501 -0.8172 4.2137" Properties=species:S:1:pos:R:3 pbc="T T T"
Tl -2.2729 -1.9890 4.3550
O -1.1365 -0.9945 2.1775
O -3.4094 -2.9835 6.5325
Br 0.0000 0.0000 0.0000
```

Results
V in A^3/atom: 14.32
E above lowest polymorph in eV per atom: 1.033
Spin magnetization in μB per formula unit: 2.1
E_form (uncorrected) in kJ/mol of formula units: 253

Material: Ga2P3H11O13
Method: DFT, meta-GGA SCAN
State: PBEsol geometry

The structure in extended XYZ format:
```
58
Lattice="7.4481 -0.0025 0.0000 -2.8639 7.8557 0.0000 0.0000 0.0000 9.9081" Properties=species:S:1:pos:R:3 pbc="T T T"
Ga 4.1506 7.6644 1.4980
Ga 0.4336 0.1887 6.4520
Ga 1.3164 4.8220 4.1732
Ga 3.2678 3.0311 9.1272
P 2.1061 5.2159 1.1024
P 2.4780 2.6373 6.0565
P 2.6216 7.7145 4.2620
P 1.9626 0.1386 9.2160
P 5.6095 0.8151 8.6385
P -1.0253 7.0381 3.6845
H 1.0631 6.1596 1.0285
H 3.5211 1.6936 5.9825
H 4.2225 0.3844 4.6160
H 0.3617 7.4688 9.5701
H 2.3235 7.3898 8.2282
H 2.2607 0.4634 3.2742
H 1.1078 1.8169 1.1143
H 3.4763 6.0362 6.0683
H 4.2706 5.6209 7.4952
H 0.3136 2.2322 2.5412
H 0.0525 2.6127 4.6209
H 4.5316 5.2405 9.5749
H -1.0231 3.5297 3.7294
H 5.6072 4.3235 8.6834
H 0.1911 4.5803 6.7512
H 4.3931 3.2729 1.7972
H -0.2738 5.8853 5.8477
H 4.8579 1.9679 0.8936
H 4.9148 4.9731 3.0694
H -0.3307 2.8801 8.0234
H 4.1304 3.8197 3.8412
H 0.4538 4.0334 8.7953
O 3.4586 5.9300 0.9306
O 1.1255 1.9231 5.8846
O 5.8363 0.7988 0.2554
O -1.2522 7.0543 5.2095
O 5.6008 0.1601 2.7683
O -1.0166 7.6930 7.7223
O -2.3003 6.6884 2.9031
O 6.8844 1.1647 7.8572
O -1.9367 7.2611 0.1614
O 6.5208 0.5920 5.1154
O 0.5426 1.5073 1.8852
O 4.0416 6.3458 6.8393
O 2.0010 4.4379 2.4084
O 2.5832 3.4153 7.3625
O 2.6201 6.2102 4.6244
O 1.9640 1.6430 9.5784
O 4.4987 1.8096 8.3040
O 0.0854 6.0436 3.3499
O 2.6559 3.5744 4.8381
O 1.9282 4.2787 9.7922
O -0.0460 3.2471 3.8479
O 4.6301 4.6061 8.8020
O 0.4064 5.1454 5.9392
O 4.1777 2.7078 0.9851
O 4.9098 3.9799 3.2348
O -0.3256 3.8733 8.1888
```

Results
Total energy in eV per atom: -7.848
V in A^3/atom: 9.99
Spin magnetization in μB per formula unit: 0.0

Material: BaTi2PtS
Method: DFT, meta-GGA SCAN
State: PBEsol geometry

The structure in extended XYZ format:
```
5
Lattice="-4.8963 0.5441 -0.8701 0.6204 -1.8625 -4.6558 -0.8303 -4.6647 1.7554" Properties=species:S:1:pos:R:3 pbc="T T T"
S -2.5531 -2.9915 -1.8852
Ba 0.0000 0.0000 0.0000
Pt -2.4482 0.2721 -0.4350
Ti -0.4152 -2.3323 0.8777
Ti 0.3102 -0.9312 -2.3279
```

Results
V in A^3/atom: 25.54
Spin magnetization in μB per formula unit: 3.8
E_form (uncorrected) in kJ/mol of formula units: 949